# Na3As meta-GGA SCAN PBEsol geometry
# Electronic total energy ... -8.7276 eV per atom
# Mass density ... 2.42 g/cm³
data_Na3As
_symmetry_space_group_name_H-M 'P 63/m m c'
_symmetry_Int_Tables_number 194
_symmetry_space_group_name_Hall '-P 6c 2c'
_cell_length_a 5.0419
_cell_length_b 5.0419
_cell_length_c 8.9855
_cell_angle_alpha 90.00
_cell_angle_beta 90.00
_cell_angle_gamma 120.00
loop_
_atom_site_label
_atom_site_type_symbol
_atom_site_fract_x
_atom_site_fract_y
_atom_site_fract_z
_atom_site_occupancy
Na1 Na 0.0000 0.0000 0.2500 1
Na2 Na 0.3333 0.6667 0.0801 1
As1 As 0.3333 0.6667 0.7500 1